Er8TcBi2 (PBE, relaxed); density of states at the Fermi level = 0.837 states/eV/atom; symmetry = No. 12; DFT total energy = -5.22 eV/atom
1.0
8.6692 -2.7269 0.0000
8.6692 2.7269 0.0000
-1.6419 0.0000 6.6610
Er Tc Bi
8 1 2
Cartesian
-0.2302 0.0000 1.5607
3.2894 0.0000 0.3896
5.0229 0.0000 4.7979
6.5978 0.0000 1.7040
9.0987 0.0000 4.9570
10.6736 0.0000 1.8631
12.4071 0.0000 6.2714
15.9266 0.0000 5.1003
8.6692 0.0000 0.0000
1.9210 0.0000 3.8604
13.7754 0.0000 2.8006

---

K2NpGaBr6 (PBE, relaxed); density of states at the Fermi level = 0.512 states/eV/atom; raw formation energy = -1355 meV per atom; symmetry = No. 14; DFT total energy = -4.17 eV/atom
1.0
7.7919 0.0000 0.0000
0.0000 8.3720 0.0000
-7.6169 0.0000 11.2982
K Np Ga Br
4 2 2 12
Cartesian
-0.2044 0.6912 2.8111
-4.0128 3.4948 8.4602
4.1879 4.8772 2.8380
0.3795 7.6808 8.4870
3.8960 0.0000 0.0000
0.0875 4.1860 5.6491
-3.8084 0.0000 5.6491
0.0000 4.1860 0.0000
-6.0585 1.5607 10.5991
-2.2500 2.6254 4.9500
-5.1011 5.9216 10.5788
-1.2927 6.6365 4.9298
-2.7850 0.3848 8.5827
1.0234 3.8013 2.9336
-0.8484 4.5708 8.3646
2.9601 7.9873 2.7155
1.4678 1.7355 6.3684
5.2762 2.4505 0.7193
2.4251 5.7467 6.3482
6.2335 6.8114 0.6991

---

CaHf2Cu2 (PBE, relaxed); density of states at the Fermi level = 1.216 states/eV/atom; symmetry = No. 127; DFT total energy = -5.90 eV/atom
1.0
7.8928 0.0000 0.0000
0.0000 7.8928 0.0000
0.0000 0.0000 3.1697
Ca Hf Cu
2 4 4
Cartesian
0.0000 0.0000 0.0000
3.9464 3.9464 0.0000
1.2874 2.6590 1.5849
2.6590 6.6054 1.5849
5.2337 1.2874 1.5849
6.6054 5.2337 1.5849
0.9876 4.9340 0.0000
2.9588 0.9876 0.0000
4.9340 6.9052 0.0000
6.9052 2.9588 0.0000

---

CoHgSb2 (PBE, relaxed); density of states at the Fermi level = 0.432 states/eV/atom; raw formation energy = 20 meV per atom; symmetry = No. 12; DFT total energy = -3.89 eV/atom
1.0
3.3254 -1.9220 0.0000
3.3254 1.9220 0.0000
-2.2840 0.0000 7.3748
Co Hg Sb
1 1 2
Cartesian
0.0000 0.0000 0.0000
2.1834 0.0000 3.6874
-0.0669 0.0000 6.1222
4.4336 0.0000 1.2525

---

Dy2TmSe3 (PBE, relaxed); density of states at the Fermi level = 0.414 states/eV/atom; raw formation energy = -1717 meV per atom; symmetry = No. 71; DFT total energy = -5.74 eV/atom
1.0
-2.0388 2.8579 6.0678
2.0388 -2.8579 6.0678
2.0388 2.8579 -6.0678
Dy Tm Se
2 1 3
Cartesian
0.0000 0.0000 2.0641
0.0000 0.0000 10.0715
0.0000 0.0000 6.0678
2.0388 0.0000 0.0000
2.0388 0.0000 4.0942
0.0000 2.8579 1.9736

---

Ce3Zn2Cd4 (PBE, relaxed); density of states at the Fermi level = 2.117 states/eV/atom; symmetry = No. 12; DFT total energy = -2.91 eV/atom
1.0
5.4145 -2.5017 0.0000
5.4145 2.5017 0.0000
-4.9782 0.0000 7.7758
Ce Zn Cd
3 2 4
Cartesian
0.0000 0.0000 0.0000
1.9737 0.0000 2.6541
3.8771 0.0000 5.1217
0.6122 0.0000 5.6311
5.2386 0.0000 2.1447
-1.2702 0.0000 3.0150
-1.6316 0.0000 7.3493
7.4824 0.0000 0.4265
7.1210 0.0000 4.7608